# 1
# KAlCo2H8 (PBE, relaxed)
# total moment	0.00	Bohr magnetons per cell
# total energy	-140.435	eV/cell
data_KAlCo2H8
_chemical_formula_sum 'K3 Al3 Co6 H24'
_cell_length_a 4.3700
_cell_length_b 4.3700
_cell_length_c 19.4728
_cell_angle_alpha 90.00
_cell_angle_beta 90.00
_cell_angle_gamma 120.00
_symmetry_space_group_name_H-M 'R -3'
_symmetry_Int_Tables_number 148
_symmetry_space_group_name_Hall '-R 3'
loop_
_atom_site_label
_atom_site_fract_x
_atom_site_fract_y
_atom_site_fract_z
K1 0.0000 0.0000 0.0000
Al1 0.0000 0.0000 0.5000
Co1 0.0000 0.0000 0.1897
H1 0.0000 0.0000 0.2701
H2 0.0335 0.2800 0.8778

***

# 2
# LaAlCo2H8 (PBE, relaxed)
# DOS(E_F)	2.1	states/eV/f.u.
# total moment	0.00	Bohr magnetons per cell
# total energy	-155.765	eV/cell
data_LaAlCo2H8
_chemical_formula_sum 'La3 Al3 Co6 H24'
_cell_length_a 4.4128
_cell_length_b 4.4128
_cell_length_c 17.0783
_cell_angle_alpha 90.00
_cell_angle_beta 90.00
_cell_angle_gamma 120.00
_symmetry_space_group_name_H-M 'R -3'
_symmetry_Int_Tables_number 148
_symmetry_space_group_name_Hall '-R 3'
loop_
_atom_site_label
_atom_site_fract_x
_atom_site_fract_y
_atom_site_fract_z
La1 0.0000 0.0000 0.0000
Al1 0.0000 0.0000 0.5000
Co1 0.0000 0.0000 0.1937
H1 0.0000 0.0000 0.2927
H2 0.0123 0.2810 0.8811

***

# 3
# LiAlCo2H (PBE, relaxed)
# DOS(E_F)	5.4	states/eV/f.u.
# total moment	0.90	Bohr magnetons per cell
# total energy	-24.124	eV/cell
data_LiAlCo2H
_chemical_formula_sum 'Li1 Al1 Co2 H1'
_cell_length_a 3.652
_cell_length_b 3.652
_cell_length_c 3.539
_cell_angle_alpha 90.00
_cell_angle_beta 90.00
_cell_angle_gamma 90.00
_symmetry_space_group_name_H-M 'P 4/m m m'
_symmetry_Int_Tables_number 123
_symmetry_space_group_name_Hall '-P 4 2'
loop_
_atom_site_label
_atom_site_fract_x
_atom_site_fract_y
_atom_site_fract_z
Li1 0.000 0.000 0.000
Al1 0.500 0.500 0.000
Co1 0.000 0.500 0.500
H1 0.000 0.000 0.500

***

# 4
# MgAlCo2H (PBE, relaxed)
# DOS(E_F)	3.7	states/eV/f.u.
# total moment	0.30	Bohr magnetons per cell
# total energy	-23.331	eV/cell
data_MgAlCo2H
_chemical_formula_sum 'Mg1 Al1 Co2 H1'
_cell_length_a 3.818
_cell_length_b 3.818
_cell_length_c 3.638
_cell_angle_alpha 90.00
_cell_angle_beta 90.00
_cell_angle_gamma 90.00
_symmetry_space_group_name_H-M 'P 4/m m m'
_symmetry_Int_Tables_number 123
_symmetry_space_group_name_Hall '-P 4 2'
loop_
_atom_site_label
_atom_site_fract_x
_atom_site_fract_y
_atom_site_fract_z
Mg1 0.000 0.000 0.000
Al1 0.500 0.500 0.000
Co1 0.000 0.500 0.500
H1 0.000 0.000 0.500

***

# 5
# Mg2AlCoH (PBE, relaxed)
# DOS(E_F)	1.7	states/eV/f.u.
# total moment	0.00	Bohr magnetons per cell
# total energy	-17.416	eV/cell
data_Mg2AlCoH
_chemical_formula_sum 'Mg2 Al1 Co1 H1'
_cell_length_a 4.389
_cell_length_b 4.389
_cell_length_c 3.425
_cell_angle_alpha 90.00
_cell_angle_beta 90.00
_cell_angle_gamma 90.00
_symmetry_space_group_name_H-M 'P 4/m m m'
_symmetry_Int_Tables_number 123
_symmetry_space_group_name_Hall '-P 4 2'
loop_
_atom_site_label
_atom_site_fract_x
_atom_site_fract_y
_atom_site_fract_z
Mg1 0.000 0.500 0.000
Al1 0.000 0.000 0.500
Co1 0.500 0.500 0.500
H1 0.500 0.500 0.000

***

# 6
# MnAl2CoH (PBE, relaxed)
# DOS(E_F)	2.8	states/eV/f.u.
# total moment	1.67	Bohr magnetons per cell
# excess energy over the best structure of this formula in the dataset	0.0	meV/atom
# total energy	-28.153	eV/cell
data_MnAl2CoH
_chemical_formula_sum 'Mn1 Al2 Co1 H1'
_cell_length_a 4.052
_cell_length_b 4.052
_cell_length_c 3.161
_cell_angle_alpha 90.00
_cell_angle_beta 90.00
_cell_angle_gamma 90.00
_symmetry_space_group_name_H-M 'P 4/m m m'
_symmetry_Int_Tables_number 123
_symmetry_space_group_name_Hall '-P 4 2'
loop_
_atom_site_label
_atom_site_fract_x
_atom_site_fract_y
_atom_site_fract_z
Mn1 0.000 0.000 0.000
Al1 0.000 0.500 0.500
Co1 0.500 0.500 0.000
H1 0.500 0.500 0.500

***

# 7
# Mn2AlCoH (PBE, relaxed)
# DOS(E_F)	4.0	states/eV/f.u.
# total moment	5.05	Bohr magnetons per cell
# excess energy over the best structure of this formula in the dataset	137.2	meV/atom
# total energy	-32.786	eV/cell
data_Mn2AlCoH
_chemical_formula_sum 'Mn2 Al1 Co1 H1'
_cell_length_a 3.589
_cell_length_b 3.589
_cell_length_c 3.918
_cell_angle_alpha 90.00
_cell_angle_beta 90.00
_cell_angle_gamma 90.00
_symmetry_space_group_name_H-M 'P 4/m m m'
_symmetry_Int_Tables_number 123
_symmetry_space_group_name_Hall '-P 4 2'
loop_
_atom_site_label
_atom_site_fract_x
_atom_site_fract_y
_atom_site_fract_z
Mn1 0.000 0.500 0.000
Al1 0.000 0.000 0.500
Co1 0.500 0.500 0.500
H1 0.000 0.000 0.000

***

# 8
# MnAl2CoH (PBE, relaxed)
# DOS(E_F)	2.6	states/eV/f.u.
# total moment	1.40	Bohr magnetons per cell
# excess energy over the best structure of this formula in the dataset	21.9	meV/atom
# total energy	-28.044	eV/cell
data_MnAl2CoH
_chemical_formula_sum 'Mn1 Al2 Co1 H1'
_cell_length_a 4.002
_cell_length_b 4.002
_cell_length_c 3.225
_cell_angle_alpha 90.00
_cell_angle_beta 90.00
_cell_angle_gamma 90.00
_symmetry_space_group_name_H-M 'P 4/m m m'
_symmetry_Int_Tables_number 123
_symmetry_space_group_name_Hall '-P 4 2'
loop_
_atom_site_label
_atom_site_fract_x
_atom_site_fract_y
_atom_site_fract_z
Mn1 0.000 0.000 0.000
Al1 0.000 0.500 0.500
Co1 0.500 0.500 0.000
H1 0.000 0.000 0.500

***

# 9
# Mn2AlCoH (PBE, relaxed)
# DOS(E_F)	3.3	states/eV/f.u.
# total moment	5.66	Bohr magnetons per cell
# excess energy over the best structure of this formula in the dataset	0.0	meV/atom
# total energy	-33.472	eV/cell
data_Mn2AlCoH
_chemical_formula_sum 'Mn2 Al1 Co1 H1'
_cell_length_a 3.729
_cell_length_b 3.729
_cell_length_c 3.645
_cell_angle_alpha 90.00
_cell_angle_beta 90.00
_cell_angle_gamma 90.00
_symmetry_space_group_name_H-M 'P 4/m m m'
_symmetry_Int_Tables_number 123
_symmetry_space_group_name_Hall '-P 4 2'
loop_
_atom_site_label
_atom_site_fract_x
_atom_site_fract_y
_atom_site_fract_z
Mn1 0.000 0.500 0.000
Al1 0.000 0.000 0.500
Co1 0.500 0.500 0.500
H1 0.500 0.500 0.000

***

# 10
# AlCoMo2H (PBE, relaxed)
# DOS(E_F)	4.1	states/eV/f.u.
# total moment	0.37	Bohr magnetons per cell
# total energy	-35.868	eV/cell
data_AlCoMo2H
_chemical_formula_sum 'Al1 Co1 Mo2 H1'
_cell_length_a 3.801
_cell_length_b 3.801
_cell_length_c 4.118
_cell_angle_alpha 90.00
_cell_angle_beta 90.00
_cell_angle_gamma 90.00
_symmetry_space_group_name_H-M 'P 4/m m m'
_symmetry_Int_Tables_number 123
_symmetry_space_group_name_Hall '-P 4 2'
loop_
_atom_site_label
_atom_site_fract_x
_atom_site_fract_y
_atom_site_fract_z
Al1 0.000 0.000 0.000
Co1 0.500 0.500 0.000
Mo1 0.000 0.500 0.500
H1 0.500 0.500 0.500

***

# 11
# NaAlCoH6 (PBE, relaxed)
# DOS(E_F)	1.7	states/eV/f.u.
# total moment	0.00	Bohr magnetons per cell
# total energy	-33.659	eV/cell
data_NaAlCoH6
_chemical_formula_sum 'Na1 Al1 Co1 H6'
_cell_length_a 4.3256
_cell_length_b 4.3256
_cell_length_c 4.8430
_cell_angle_alpha 90.00
_cell_angle_beta 90.00
_cell_angle_gamma 120.00
_symmetry_space_group_name_H-M 'P 3 1 2'
_symmetry_Int_Tables_number 149
loop_
_symmetry_equiv_pos_as_xyz
'x,y,z'
'-y,x-y,z'
'-x+y,-x,z'
'-y,-x,-z'
'-x+y,y,-z'
'x,x-y,-z'
loop_
_atom_site_label
_atom_site_fract_x
_atom_site_fract_y
_atom_site_fract_z
Na1 0.0000 0.0000 0.0000
Al1 0.3333 0.6667 0.5000
Co1 0.6667 0.3333 0.5000
H1 0.4190 0.0373 0.7156

***

# 12
# NaAlCo2H8 (PBE, relaxed)
# DOS(E_F)	0.0	states/eV/f.u.
# total moment	0.00	Bohr magnetons per cell
# total energy	-139.742	eV/cell
data_NaAlCo2H8
_chemical_formula_sum 'Na3 Al3 Co6 H24'
_cell_length_a 4.3541
_cell_length_b 4.3541
_cell_length_c 17.4154
_cell_angle_alpha 90.00
_cell_angle_beta 90.00
_cell_angle_gamma 120.00
_symmetry_space_group_name_H-M 'R -3'
_symmetry_Int_Tables_number 148
_symmetry_space_group_name_Hall '-R 3'
loop_
_atom_site_label
_atom_site_fract_x
_atom_site_fract_y
_atom_site_fract_z
Na1 0.0000 0.0000 0.0000
Al1 0.0000 0.0000 0.5000
Co1 0.0000 0.0000 0.1929
H1 0.0000 0.0000 0.2826
H2 0.0317 0.7490 0.8835

***

# 13
# NbAlCo2H (PBE, relaxed)
# DOS(E_F)	3.6	states/eV/f.u.
# total moment	0.00	Bohr magnetons per cell
# total energy	-32.108	eV/cell
data_NbAlCo2H
_chemical_formula_sum 'Nb1 Al1 Co2 H1'
_cell_length_a 3.798
_cell_length_b 3.798
_cell_length_c 3.854
_cell_angle_alpha 90.00
_cell_angle_beta 90.00
_cell_angle_gamma 90.00
_symmetry_space_group_name_H-M 'P 4/m m m'
_symmetry_Int_Tables_number 123
_symmetry_space_group_name_Hall '-P 4 2'
loop_
_atom_site_label
_atom_site_fract_x
_atom_site_fract_y
_atom_site_fract_z
Nb1 0.000 0.000 0.000
Al1 0.500 0.500 0.000
Co1 0.000 0.500 0.500
H1 0.000 0.000 0.500

***

# 14
# Al2CoNiH (PBE, relaxed)
# DOS(E_F)	2.8	states/eV/f.u.
# total moment	0.00	Bohr magnetons per cell
# total energy	-25.496	eV/cell
data_Al2CoNiH
_chemical_formula_sum 'Al2 Co1 Ni1 H1'
_cell_length_a 4.040
_cell_length_b 4.040
_cell_length_c 3.121
_cell_angle_alpha 90.00
_cell_angle_beta 90.00
_cell_angle_gamma 90.00
_symmetry_space_group_name_H-M 'P 4/m m m'
_symmetry_Int_Tables_number 123
_symmetry_space_group_name_Hall '-P 4 2'
loop_
_atom_site_label
_atom_site_fract_x
_atom_site_fract_y
_atom_site_fract_z
Al1 0.000 0.500 0.000
Co1 0.000 0.000 0.500
Ni1 0.500 0.500 0.500
H1 0.000 0.000 0.000

***

# 15
# NpAlCo2H6 (PBE, relaxed)
# DOS(E_F)	11.3	states/eV/f.u.
# total moment	12.02	Bohr magnetons per cell
# total energy	-158.898	eV/cell
data_NpAlCo2H6
_chemical_formula_sum 'Np3 Al3 Co6 H18'
_cell_length_a 4.1902
_cell_length_b 4.1902
_cell_length_c 15.3370
_cell_angle_alpha 90.00
_cell_angle_beta 90.00
_cell_angle_gamma 120.00
_symmetry_space_group_name_H-M 'R -3 m'
_symmetry_Int_Tables_number 166
_symmetry_space_group_name_Hall '-R 3 2"'
loop_
_atom_site_label
_atom_site_fract_x
_atom_site_fract_y
_atom_site_fract_z
Np1 0.0000 0.0000 0.0000
Al1 0.0000 0.0000 0.5000
Co1 0.0000 0.0000 0.2080
H1 0.0038 0.5019 0.0627

***

# 16
# NpAlCo2H8 (PBE, relaxed)
# DOS(E_F)	9.0	states/eV/f.u.
# total moment	5.34	Bohr magnetons per cell
# total energy	-57.537	eV/cell
data_NpAlCo2H8
_chemical_formula_sum 'Np1 Al1 Co2 H8'
_cell_length_a 4.1637
_cell_length_b 4.1637
_cell_length_c 6.0761
_cell_angle_alpha 90.00
_cell_angle_beta 90.00
_cell_angle_gamma 120.00
_symmetry_space_group_name_H-M 'P -3'
_symmetry_Int_Tables_number 147
loop_
_symmetry_equiv_pos_as_xyz
'x,y,z'
'-x,-y,-z'
'-y,x-y,z'
'y,-x+y,-z'
'-x+y,-x,z'
'x-y,x,-z'
loop_
_atom_site_label
_atom_site_fract_x
_atom_site_fract_y
_atom_site_fract_z
Np1 0.0000 0.0000 0.0000
Al1 0.0000 0.0000 0.5000
Co1 0.3333 0.6667 0.6699
H1 0.0539 0.6973 0.3012
H2 0.3333 0.6667 0.9347

***

# 17
# PaAlCo2H (PBE, relaxed)
# DOS(E_F)	3.1	states/eV/f.u.
# total moment	0.00	Bohr magnetons per cell
# total energy	-130.699	eV/cell
data_PaAlCo2H
_chemical_formula_sum 'Pa4 Al4 Co8 H4'
_cell_length_a 3.912
_cell_length_b 10.687
_cell_length_c 6.297
_cell_angle_alpha 90.00
_cell_angle_beta 90.00
_cell_angle_gamma 90.00
_symmetry_space_group_name_H-M 'C m c m'
_symmetry_Int_Tables_number 63
_symmetry_space_group_name_Hall '-C 2c 2'
loop_
_atom_site_label
_atom_site_fract_x
_atom_site_fract_y
_atom_site_fract_z
Pa1 0.000 0.095 0.250
Al1 0.000 0.189 0.750
Co1 0.000 0.344 0.036
H1 0.000 0.500 0.000

***

# 18
# PaAlCo2H6 (PBE, relaxed)
# DOS(E_F)	3.8	states/eV/f.u.
# total moment	5.65	Bohr magnetons per cell
# total energy	-151.633	eV/cell
data_PaAlCo2H6
_chemical_formula_sum 'Pa3 Al3 Co6 H18'
_cell_length_a 4.2141
_cell_length_b 4.2141
_cell_length_c 15.2678
_cell_angle_alpha 90.00
_cell_angle_beta 90.00
_cell_angle_gamma 120.00
_symmetry_space_group_name_H-M 'R -3 m'
_symmetry_Int_Tables_number 166
_symmetry_space_group_name_Hall '-R 3 2"'
loop_
_atom_site_label
_atom_site_fract_x
_atom_site_fract_y
_atom_site_fract_z
Pa1 0.0000 0.0000 0.0000
Al1 0.0000 0.0000 0.5000
Co1 0.0000 0.0000 0.2080
H1 0.0081 0.5040 0.0618

***

# 19
# Pa2AlCo12H3 (PBE, relaxed)
# DOS(E_F)	17.8	states/eV/f.u.
# total moment	24.33	Bohr magnetons per cell
# total energy	-356.099	eV/cell
data_Pa2AlCo12H3
_chemical_formula_sum 'Pa6 Al3 Co36 H9'
_cell_length_a 6.5257
_cell_length_b 6.5257
_cell_length_c 16.4120
_cell_angle_alpha 90.00
_cell_angle_beta 90.00
_cell_angle_gamma 120.00
_symmetry_space_group_name_H-M 'R -3 m'
_symmetry_Int_Tables_number 166
_symmetry_space_group_name_Hall '-R 3 2"'
loop_
_atom_site_label
_atom_site_fract_x
_atom_site_fract_y
_atom_site_fract_z
Pa1 0.0000 0.0000 0.1032
Al1 0.0000 0.0000 0.5000
Co1 0.0690 0.5345 0.8891
Co2 0.0793 0.5396 0.3147
H1 0.0000 0.5000 0.0000

***

# 20
# AlCo2HPd (PBE, relaxed)
# DOS(E_F)	4.8	states/eV/f.u.
# total moment	1.99	Bohr magnetons per cell
# excess energy over the best structure of this formula in the dataset	0.0	meV/atom
# total energy	-27.750	eV/cell
data_AlCo2HPd
_chemical_formula_sum 'Al1 Co2 H1 Pd1'
_cell_length_a 3.649
_cell_length_b 3.649
_cell_length_c 3.935
_cell_angle_alpha 90.00
_cell_angle_beta 90.00
_cell_angle_gamma 90.00
_symmetry_space_group_name_H-M 'P 4/m m m'
_symmetry_Int_Tables_number 123
_symmetry_space_group_name_Hall '-P 4 2'
loop_
_atom_site_label
_atom_site_fract_x
_atom_site_fract_y
_atom_site_fract_z
Al1 0.000 0.000 0.000
Co1 0.000 0.500 0.500
H1 0.500 0.500 0.500
Pd1 0.500 0.500 0.000